ZrCo2Cl GGA-PBE relaxed; energy relative to the elements, uncorrected = 0.91 eV per formula unit; energy above the most stable polymorph in this dataset = 436.1 meV per atom; spin magnetization = 2.751 μB per formula unit
1.0
-1.783 1.783 4.884
1.783 -1.783 4.884
1.783 1.783 -4.884
Zr Co Cl
1 2 1
Direct
0.000 0.000 0.000
0.250 0.750 0.500
0.750 0.250 0.500
0.500 0.500 0.000

=====

Cr3Cl GGA-PBE relaxed; energy relative to the elements, uncorrected = 3.66 eV per formula unit; energy above the most stable polymorph in this dataset = 762.0 meV per atom; spin magnetization = 0.012 μB per formula unit
1.0
4.579 0.000 0.000
0.000 4.579 0.000
0.000 0.000 4.579
Cr Cl
6 2
Direct
0.000 0.250 0.500
0.000 0.750 0.500
0.250 0.500 0.000
0.500 0.000 0.250
0.500 0.000 0.750
0.750 0.500 0.000
0.000 0.000 0.000
0.500 0.500 0.500

=====

Cr2Cl GGA-PBE relaxed; energy relative to the elements, uncorrected = 2.99 eV per formula unit; energy above the most stable polymorph in this dataset = 1104.3 meV per atom; spin magnetization = 9.924 μB per formula unit
1.0
4.950 0.000 0.000
-2.475 4.287 0.000
0.000 0.000 5.890
Cr Cl
4 2
Direct
0.000 0.000 0.000
0.000 0.000 0.500
0.333 0.667 0.250
0.667 0.333 0.750
0.333 0.667 0.750
0.667 0.333 0.250

=====

CrCl3 GGA-PBE relaxed; energy relative to the elements, uncorrected = -1.44 eV per formula unit; spin magnetization = 4.324 μB per formula unit
1.0
3.211 0.000 0.000
0.000 3.377 0.000
0.000 0.000 9.103
Cr Cl
1 3
Direct
0.000 0.000 0.000
0.000 0.500 0.499
0.500 0.000 0.181
0.500 0.500 0.866

=====

Look up the energy relative to the elements, uncorrected of the fourth one. -1.44 eV per formula unit

=====

energy relative to the elements, uncorrected of number 2 (Cr3Cl)? 3.66 eV per formula unit

=====

Copy entry 2 word for word.
Cr3Cl GGA-PBE relaxed; energy relative to the elements, uncorrected = 3.66 eV per formula unit; energy above the most stable polymorph in this dataset = 762.0 meV per atom; spin magnetization = 0.012 μB per formula unit
1.0
4.579 0.000 0.000
0.000 4.579 0.000
0.000 0.000 4.579
Cr Cl
6 2
Direct
0.000 0.250 0.500
0.000 0.750 0.500
0.250 0.500 0.000
0.500 0.000 0.250
0.500 0.000 0.750
0.750 0.500 0.000
0.000 0.000 0.000
0.500 0.500 0.500

=====

What did the first record say?
ZrCo2Cl GGA-PBE relaxed; energy relative to the elements, uncorrected = 0.91 eV per formula unit; energy above the most stable polymorph in this dataset = 436.1 meV per atom; spin magnetization = 2.751 μB per formula unit
1.0
-1.783 1.783 4.884
1.783 -1.783 4.884
1.783 1.783 -4.884
Zr Co Cl
1 2 1
Direct
0.000 0.000 0.000
0.250 0.750 0.500
0.750 0.250 0.500
0.500 0.500 0.000